The following is a PBE+U calculation of CoPbSO after structural relaxation, from the Open Quantum Materials Database.

Output
- symmetry = P2_12_12_1 (19)
- mass density (g cm⁻³) = 7.00
- V (Å³ per atom) = 18.63
- energy above the lowest structure with this stoichiometry (eV/f.u.) = 0.46

Cell: 6.5066 6.6906 6.8466 Å, 90.00 90.00 90.00°
With the nearest neighbours (Å) after each atom.
Element x y z (fractional)
Co1 0.1633 0.3371 0.1508  1 O 1.90
Co2 0.6633 0.6629 0.3492  1 O 1.90
Co3 0.8367 0.1629 0.6508  1 O 1.90
Co4 0.3367 0.8371 0.8492  1 O 1.90
O1 0.8302 0.8373 0.1983  1 Co 1.90
O2 0.3302 0.1627 0.3017  1 Co 1.90
O3 0.1698 0.6627 0.6983  1 Co 1.90
O4 0.6698 0.3373 0.8016  1 Co 1.90
Pb1 0.6237 0.1151 0.1032  3 O 2.37-2.56
Pb2 0.1237 0.8849 0.3968  3 O 2.37-2.56
Pb3 0.3763 0.3849 0.6032  3 O 2.37-2.56
Pb4 0.8763 0.6151 0.8968  3 O 2.37-2.56
S1 0.3607 0.6426 0.1464  3 Co 2.41-2.42
S2 0.8607 0.3574 0.3536  3 Co 2.41-2.42
S3 0.6393 0.8574 0.6464  3 Co 2.41-2.42
S4 0.1392 0.1426 0.8536  3 Co 2.41-2.42